# 1
{
  "formula": "Na3PrPu2Te6",
  "functional": "GGA-PBE",
  "state": "optimized geometry",
  "dos_ef_per_ev_atom": 2.2270,
  "cell": [[7.837, -0.002, 0.000], [-3.918, 6.788, 0.000], [-1.307, -2.263, 7.509]],
  "species": ["Na", "Na", "Na", "Pr", "Pu", "Pu", "Te", "Te", "Te", "Te", "Te", "Te"],
  "fractional_positions": [[0.165, 0.835, 0.500], [0.835, 0.165, 0.500], [0.500, 0.500, 0.500], [0.000, 0.000, 0.000], [0.333, 0.667, 0.000], [0.667, 0.333, 0.000], [0.921, 0.581, 0.763], [0.739, 0.739, 0.237], [0.079, 0.419, 0.237], [0.581, 0.921, 0.763], [0.261, 0.261, 0.763], [0.419, 0.079, 0.237]]
}


# 2
{
  "formula": "ZrTc2Ir",
  "functional": "GGA-PBE",
  "state": "optimized geometry",
  "e_above_lowest_polymorph_ev_per_atom": 0.226,
  "dos_ef_per_ev_atom": 1.3380,
  "cell": [[-2.268, -3.470, 1.774], [-4.006, -1.180, -1.699], [-0.421, -3.842, -2.323]],
  "species": ["Ir", "Tc", "Tc", "Zr"],
  "fractional_positions": [[0.500, 0.500, 0.500], [0.250, 0.250, 0.250], [0.750, 0.750, 0.750], [0.000, 0.000, 0.000]]
}


# 3
{
  "formula": "Cs2Rb2Ag",
  "functional": "GGA-PBE",
  "state": "optimized geometry",
  "e_above_lowest_polymorph_ev_per_atom": 0.081,
  "dos_ef_per_ev_atom": 0.9631,
  "cell": [[9.802, 0.000, 0.000], [0.000, 9.802, 0.000], [0.000, 0.000, 8.099]],
  "species": ["Cs", "Cs", "Cs", "Cs", "Rb", "Rb", "Rb", "Rb", "Ag", "Ag"],
  "fractional_positions": [[0.183, 0.683, 0.500], [0.683, 0.817, 0.500], [0.817, 0.317, 0.500], [0.317, 0.183, 0.500], [0.335, 0.835, 0.000], [0.835, 0.665, 0.000], [0.665, 0.165, 0.000], [0.165, 0.335, 0.000], [0.000, 0.000, 0.000], [0.500, 0.500, 0.000]]
}


# 4
{
  "formula": "SiWBr2",
  "functional": "GGA-PBE",
  "state": "optimized geometry",
  "e_above_lowest_polymorph_ev_per_atom": 0.926,
  "dos_ef_per_ev_atom": 0.7619,
  "cell": [[3.056, 0.000, 0.000], [0.000, 5.541, 0.000], [0.000, 0.000, 4.641]],
  "species": ["Br", "Br", "Si", "W"],
  "fractional_positions": [[0.000, 0.000, 0.000], [0.500, 0.500, 0.000], [0.500, 0.000, 0.500], [0.000, 0.500, 0.500]]
}


# 5
{
  "formula": "Na3BeAl",
  "functional": "GGA-PBE",
  "state": "optimized geometry",
  "e_above_lowest_polymorph_ev_per_atom": 0.000,
  "dos_ef_per_ev_atom": 0.6119,
  "cell": [[-3.946, 2.063, -2.911], [0.535, -3.949, -3.524], [-3.528, -2.907, 2.722]],
  "species": ["Na", "Na", "Na", "Al", "Be"],
  "fractional_positions": [[0.000, 0.500, 0.000], [0.000, 0.000, 0.500], [0.500, 0.000, 0.000], [0.500, 0.500, 0.500], [0.000, 0.000, 0.000]]
}


# 6
{
  "formula": "K2InSbBr6",
  "functional": "GGA-PBE",
  "state": "optimized geometry",
  "cell": [[-4.370, -3.215, -5.961], [-0.222, -7.997, -0.976], [-7.069, -4.103, 1.944]],
  "species": ["K", "K", "In", "Sb", "Br", "Br", "Br", "Br", "Br", "Br"],
  "fractional_positions": [[0.531, 0.531, 0.407], [0.023, 0.023, 0.931], [0.817, 0.817, 0.548], [0.324, 0.324, 0.029], [0.567, 0.193, 0.253], [0.193, 0.986, 0.253], [0.986, 0.567, 0.253], [0.447, 0.665, 0.780], [0.665, 0.108, 0.780], [0.108, 0.447, 0.780]]
}


# 7
{
  "formula": "LiAc2Sn3Ir4",
  "functional": "GGA-PBE",
  "state": "optimized geometry",
  "dos_ef_per_ev_atom": 0.3629,
  "cell": [[-1.837, 2.099, -3.391], [-3.973, -1.280, 1.360], [-0.890, 9.561, 6.401]],
  "species": ["Li", "Ac", "Ac", "Sn", "Sn", "Sn", "Ir", "Ir", "Ir", "Ir"],
  "fractional_positions": [[0.500, 0.500, 0.500], [0.500, 0.000, 0.258], [0.000, 0.500, 0.742], [0.000, 0.000, 0.500], [0.500, 0.000, 0.873], [0.000, 0.500, 0.127], [0.500, 0.500, 0.000], [0.000, 0.000, 0.000], [0.500, 0.000, 0.641], [0.000, 0.500, 0.359]]
}


# 8
{
  "formula": "Ba2U3RuO12",
  "functional": "GGA-PBE",
  "state": "optimized geometry",
  "dos_ef_per_ev_atom": 0.5088,
  "cell": [[7.506, -0.248, -0.176], [3.491, 6.649, -0.176], [3.491, 2.032, 6.333]],
  "species": ["Ba", "Ba", "U", "U", "U", "Ru", "O", "O", "O", "O", "O", "O", "O", "O", "O", "O", "O", "O"],
  "fractional_positions": [[0.670, 0.670, 0.670], [0.330, 0.330, 0.330], [0.500, 0.000, 0.000], [0.000, 0.500, 0.000], [0.000, 0.000, 0.500], [0.000, 0.000, 0.000], [0.329, 0.329, 0.960], [0.936, 0.936, 0.309], [0.309, 0.936, 0.936], [0.960, 0.329, 0.329], [0.936, 0.309, 0.936], [0.329, 0.960, 0.329], [0.671, 0.671, 0.040], [0.064, 0.064, 0.691], [0.691, 0.064, 0.064], [0.040, 0.671, 0.671], [0.064, 0.691, 0.064], [0.671, 0.040, 0.671]]
}


| no. | E (eV per atom) | total magnetic moment (Bohr magnetons per cell) |
| --- | --- | --- |
| 1 | -5.814 | 10.0 |
| 2 | -9.491 | 1.1 |
| 3 | -1.183 | 0.0 |
| 4 | -4.373 | 1.4 |
| 5 | -1.521 | 0.0 |
| 6 | -3.003 | 0.0 |
| 7 | -6.303 | 0.0 |
| 8 | -8.649 | 0.0 |